This record from the Alexandria database describes a relaxed Al6Co5 crystal. The functional is PBE.

Summary:
The calculation puts the total energy at -0.42796 Ry per atom. The calculation puts the density of states at the Fermi level at 4.64 states/eV/cell. The total magnetization is 0.0 Bohr magnetons per cell.

Lattice parameters (Å, degrees): 4.0449 5.5997 6.9733 113.67 106.86 90.00
With the nearest neighbours (Å) after each atom.
Fractional coordinates of all 11 atoms:
Al  0.5000  0.7633  0.0000  6 Co 2.46-2.50, 1 Al 2.65
Al  0.5000  0.2367  0.0000  6 Co 2.46-2.50, 1 Al 2.65
Al  0.8364  0.0799  0.6729  7 Co 2.44-2.51, 1 Al 2.73
Al  0.8364  0.5929  0.6729  7 Co 2.44-2.51, 1 Al 2.73
Al  0.1636  0.9201  0.3271  7 Co 2.44-2.51, 1 Al 2.73
Al  0.1636  0.4071  0.3271  7 Co 2.44-2.51, 1 Al 2.73
Co  0.0000  0.5000  0.0000  8 Al 2.45-2.50
Co  0.6621  0.6621  0.3241  8 Al 2.46-2.51
Co  0.3379  0.3379  0.6759  8 Al 2.46-2.51
Co  0.3277  0.8277  0.6555  8 Al 2.44-2.47
Co  0.6723  0.1723  0.3445  8 Al 2.44-2.47